(1)
# ReP3 (PBE, optimized geometry)
# M_tot in μB/atom: 0.00
# ΔH_f (0 K) in eV per atom: 0.265
# Relative energy among the computed polymorphs in meV/atom: 600
# Density in kg/m³: 7536
data_ReP3
_chemical_formula_sum 'Re1 P3'
_space_group_name_H-M_alt 'P 1'
_space_group_IT_number 1
_space_group_name_Hall 'P 1'
_cell_length_a 3.1187
_cell_length_b 4.8228
_cell_length_c 4.0890
_cell_angle_alpha 90.00
_cell_angle_beta 90.00
_cell_angle_gamma 90.00
loop_
_atom_site_label
_atom_site_fract_x
_atom_site_fract_y
_atom_site_fract_z
Re1 0.0000 0.0000 0.0000
P1 0.0000 0.5000 0.0596
P2 0.5000 0.0000 0.5583
P3 0.5000 0.5000 0.4349

(2)
# SbPtSe2 (PBE, optimized geometry)
# M_tot in μB/atom: 0.00
# E_form (uncorrected) in meV/atom: 49
# Density in kg/m³: 8947
data_SbPtSe2
_chemical_formula_sum 'Sb1 Pt1 Se2'
_space_group_name_H-M_alt 'P 1'
_space_group_IT_number 1
_space_group_name_Hall 'P 1'
_cell_length_a 4.0208
_cell_length_b 3.9734
_cell_length_c 5.5154
_cell_angle_alpha 90.00
_cell_angle_beta 90.40
_cell_angle_gamma 90.00
loop_
_atom_site_label
_atom_site_fract_x
_atom_site_fract_y
_atom_site_fract_z
Sb1 0.0000 0.0000 0.0000
Pt1 0.5000 0.5000 0.5000
Se1 0.0000 0.0000 0.5000
Se2 0.5000 0.5000 0.0000

(3)
# Pm5Mg4Sc (PBE, optimized geometry)
# M_tot in μB/atom: 0.00
# ΔH_f (0 K) in eV per atom: -0.065
# Density in kg/m³: 4967
data_Pm5Mg4Sc
_chemical_formula_sum 'Pm5 Mg4 Sc1'
_space_group_name_H-M_alt 'P 1'
_space_group_IT_number 1
_space_group_name_Hall 'P 1'
_cell_length_a 3.8243
_cell_length_b 3.8243
_cell_length_c 19.8237
_cell_angle_alpha 90.00
_cell_angle_beta 90.00
_cell_angle_gamma 90.00
loop_
_atom_site_label
_atom_site_fract_x
_atom_site_fract_y
_atom_site_fract_z
Pm1 0.0000 0.0000 0.0000
Pm2 0.0000 0.0000 0.1965
Pm3 0.0000 0.0000 0.3956
Pm4 0.0000 0.0000 0.6044
Pm5 0.0000 0.0000 0.8035
Mg1 0.5000 0.5000 0.0987
Mg2 0.5000 0.5000 0.2964
Mg3 0.5000 0.5000 0.7036
Mg4 0.5000 0.5000 0.9013
Sc1 0.5000 0.5000 0.5000

(4)
# ScGePd2 (PBE, optimized geometry)
# M_tot in μB/atom: 0.00
# ΔH_f (0 K) in eV per atom: -0.485
# Density in kg/m³: 7580
data_ScGePd2
_chemical_formula_sum 'Sc4 Ge4 Pd8'
_space_group_name_H-M_alt 'P 1'
_space_group_IT_number 1
_space_group_name_Hall 'P 1'
_cell_length_a 4.0422
_cell_length_b 4.0422
_cell_length_c 17.7210
_cell_angle_alpha 90.00
_cell_angle_beta 90.00
_cell_angle_gamma 90.00
loop_
_atom_site_label
_atom_site_fract_x
_atom_site_fract_y
_atom_site_fract_z
Sc1 0.0000 0.0000 0.0000
Sc2 0.0000 0.5000 0.2500
Sc3 0.5000 0.0000 0.7500
Sc4 0.5000 0.5000 0.5000
Ge1 0.0000 0.0000 0.5000
Ge2 0.0000 0.5000 0.7500
Ge3 0.5000 0.0000 0.2500
Ge4 0.5000 0.5000 0.0000
Pd1 0.2320 0.2500 0.6250
Pd2 0.2500 0.7320 0.8750
Pd3 0.2500 0.7680 0.3750
Pd4 0.2680 0.2500 0.1250
Pd5 0.7320 0.7500 0.1250
Pd6 0.7500 0.2320 0.3750
Pd7 0.7500 0.2680 0.8750
Pd8 0.7680 0.7500 0.6250

(5)
# CdSn (PBE, optimized geometry)
# M_tot in μB/atom: 0.00
# ΔH_f (0 K) in eV per atom: 0.210
# Density in kg/m³: 5813
data_CdSn
_chemical_formula_sum 'Cd2 Sn2'
_space_group_name_H-M_alt 'P 1'
_space_group_IT_number 1
_space_group_name_Hall 'P 1'
_cell_length_a 5.0288
_cell_length_b 5.0288
_cell_length_c 6.0291
_cell_angle_alpha 90.00
_cell_angle_beta 90.00
_cell_angle_gamma 120.00
loop_
_atom_site_label
_atom_site_fract_x
_atom_site_fract_y
_atom_site_fract_z
Cd1 0.3333 0.6667 0.2500
Cd2 0.6667 0.3333 0.7500
Sn1 0.3333 0.6667 0.7500
Sn2 0.6667 0.3333 0.2500

(6)
# Li2PaPd6 (PBE, optimized geometry)
# M_tot in μB/atom: 0.00
# ΔH_f (0 K) in eV per atom: -0.514
# Relative energy among the computed polymorphs in meV/atom: 0
# Density in kg/m³: 10052
data_Li2PaPd6
_chemical_formula_sum 'Li2 Pa1 Pd6'
_space_group_name_H-M_alt 'P 1'
_space_group_IT_number 1
_space_group_name_Hall 'P 1'
_cell_length_a 4.9129
_cell_length_b 5.0594
_cell_length_c 6.1661
_cell_angle_alpha 75.48
_cell_angle_beta 80.52
_cell_angle_gamma 83.56
loop_
_atom_site_label
_atom_site_fract_x
_atom_site_fract_y
_atom_site_fract_z
Li1 0.1331 0.3507 0.1528
Li2 0.8669 0.6493 0.8472
Pa1 0.5000 0.0000 0.5000
Pd1 0.0410 0.7726 0.3970
Pd2 0.2832 0.8980 0.9385
Pd3 0.4175 0.4533 0.7352
Pd4 0.5825 0.5467 0.2648
Pd5 0.7168 0.1020 0.0615
Pd6 0.9590 0.2274 0.6030

(7)
# TbNdP2 (PBE, optimized geometry)
# M_tot in μB/atom: 0.00
# ΔH_f (0 K) in eV per atom: -1.392
# Relative energy among the computed polymorphs in meV/atom: 178
# Density in kg/m³: 6094
data_TbNdP2
_chemical_formula_sum 'Tb3 Nd3 P6'
_space_group_name_H-M_alt 'P 1'
_space_group_IT_number 1
_space_group_name_Hall 'P 1'
_cell_length_a 4.0584
_cell_length_b 4.0584
_cell_length_c 20.9230
_cell_angle_alpha 90.00
_cell_angle_beta 90.00
_cell_angle_gamma 120.00
loop_
_atom_site_label
_atom_site_fract_x
_atom_site_fract_y
_atom_site_fract_z
Tb1 0.0000 0.0000 0.0000
Tb2 0.3333 0.6667 0.6667
Tb3 0.6667 0.3333 0.3333
Nd1 0.0000 0.0000 0.8284
Nd2 0.3333 0.6667 0.4951
Nd3 0.6667 0.3333 0.1618
P1 0.0000 0.0000 0.2497
P2 0.0000 0.0000 0.4130
P3 0.3333 0.6667 0.0796
P4 0.3333 0.6667 0.9164
P5 0.6667 0.3333 0.5830
P6 0.6667 0.3333 0.7463

(8)
# BaAu (PBE, optimized geometry)
# M_tot in μB/atom: 0.00
# ΔH_f (0 K) in eV per atom: -0.675
# Density in kg/m³: 7654
data_BaAu
_chemical_formula_sum 'Ba6 Au6'
_space_group_name_H-M_alt 'P 1'
_space_group_IT_number 1
_space_group_name_Hall 'P 1'
_cell_length_a 12.1330
_cell_length_b 4.4561
_cell_length_c 8.6570
_cell_angle_alpha 90.00
_cell_angle_beta 111.62
_cell_angle_gamma 90.00
loop_
_atom_site_label
_atom_site_fract_x
_atom_site_fract_y
_atom_site_fract_z
Ba1 0.0000 0.0000 0.0000
Ba2 0.1552 0.5000 0.7030
Ba3 0.3241 0.5000 0.3506
Ba4 0.5000 0.5000 0.0000
Ba5 0.6552 0.0000 0.7030
Ba6 0.8241 0.0000 0.3506
Au1 0.0219 0.5000 0.2946
Au2 0.2857 0.0000 0.0181
Au3 0.3681 0.0000 0.6845
Au4 0.5219 0.0000 0.2946
Au5 0.7857 0.5000 0.0181
Au6 0.8681 0.5000 0.6845